CaEuY | Alexandria via LeMat-Bulk | PBE | relaxed; offset from the most stable computed form = 0.03 eV per formula unit; DFT formation energy = 25.9 kJ/mol of formula units; calculated density = 4.06 g cm⁻³
1.0
-1.8773 1.8773 8.1448
1.8773 -1.8773 8.1448
1.8773 1.8773 -8.1448
Ca Eu Y
1 1 1
Cartesian
0.0000 0.0000 0.0000
0.0000 0.0000 5.2018
0.0000 0.0000 10.8043

---

CaEuY | Alexandria via LeMat-Bulk | PBE | relaxed; offset from the most stable computed form = 0.00 eV per formula unit; DFT formation energy = 22.9 kJ/mol of formula units; calculated density = 4.11 g cm⁻³
1.0
3.7509 0.0000 0.0000
-1.8755 3.2484 0.0000
0.0000 0.0000 9.3272
Ca Eu Y
1 1 1
Cartesian
0.0000 0.0000 0.0000
1.8755 1.0828 3.2890
0.0000 2.1656 6.2698